[1]
Compound: LaScZn2P
Source: Alexandria via LeMat-Bulk
Functional: PBE
Structure: relaxed

The value obtained for the total energy is -3.156 eV/atom. Its space group is No. 123. Its formation energy is 0.69 eV per atom. For the density of states at the Fermi level, the calculation gives 8.5 states/eV/f.u. For the magnetization, the calculation gives 0.001 μB per formula unit.

a = 5.400 Å, b = 5.355 Å, c = 5.400 Å
α = 90.00°, β = 90.00°, γ = 90.00°
Element x y z (fractional)
Zn1 0.000 0.000 0.500
Sc1 0.500 0.500 0.500
P1 0.000 0.500 0.000
Zn2 0.500 0.000 0.000
La1 0.000 0.000 0.000

***

[2]
Compound: La4P2Se
Source: Alexandria via LeMat-Bulk
Functional: PBE
Structure: relaxed

The value obtained for the total energy is -5.701 eV/atom. Its space group is No. 139. The value obtained for the uncorrected formation energy is -569 kJ/mol of formula units. For the density of states at the Fermi level, the calculation gives 7.1 states/eV/f.u. For the magnetization, the calculation gives 0.000 μB per formula unit.

a = 5.570 Å, b = 5.570 Å, c = 8.481 Å
α = 70.83°, β = 70.83°, γ = 90.00°
Element x y z (fractional)
La1 0.794 0.794 0.411
Se1 0.000 0.000 0.000
La2 0.000 0.500 0.000
P1 0.613 0.613 0.774
P2 0.387 0.387 0.226
La3 0.206 0.206 0.589
La4 0.500 0.000 0.000

***

[3]
Compound: LaPSe
Source: Alexandria via LeMat-Bulk
Functional: PBE
Structure: relaxed

The value obtained for the total energy is -5.376 eV/atom. Its space group is No. 216. The value obtained for the uncorrected formation energy is -222 kJ/mol of formula units. For the density of states at the Fermi level, the calculation gives 1.6 states/eV/f.u. For the magnetization, the calculation gives 0.000 μB per formula unit.

a = 4.801 Å, b = 4.801 Å, c = 4.801 Å
α = 60.00°, β = 60.00°, γ = 60.00°
Element x y z (fractional)
La1 0.500 0.500 0.500
P1 0.250 0.250 0.250
Se1 0.000 0.000 0.000

***

[4]
Compound: LaPSe
Source: Alexandria via LeMat-Bulk
Functional: PBE
Structure: relaxed

The value obtained for the total energy is -5.774 eV/atom. Its space group is No. 107. The value obtained for the uncorrected formation energy is -338 kJ/mol of formula units. For the density of states at the Fermi level, the calculation gives 0.8 states/eV/f.u. For the magnetization, the calculation gives 0.000 μB per formula unit.

a = 5.689 Å, b = 5.689 Å, c = 5.689 Å
α = 138.14°, β = 138.14°, γ = 60.69°
Element x y z (fractional)
Se1 0.631 0.631 0.000
P1 0.393 0.393 0.000
La1 0.976 0.976 0.000

***

[5]
Compound: LaPSe3
Source: Alexandria via LeMat-Bulk
Functional: PBE
Structure: relaxed

The value obtained for the total energy is -4.933 eV/atom. Its space group is No. 221. The value obtained for the uncorrected formation energy is -374 kJ/mol of formula units. For the density of states at the Fermi level, the calculation gives 0.0 states/eV/f.u. For the magnetization, the calculation gives 0.000 μB per formula unit.

a = 4.916 Å, b = 4.916 Å, c = 4.916 Å
α = 90.00°, β = 90.00°, γ = 90.00°
Element x y z (fractional)
P1 0.000 0.000 0.000
Se1 0.000 0.000 0.500
Se2 0.000 0.500 0.000
Se3 0.500 0.000 0.000
La1 0.500 0.500 0.500

***

[6]
Compound: La3P2Se
Source: Alexandria via LeMat-Bulk
Functional: PBE
Structure: relaxed

The value obtained for the total energy is -6.632 eV/atom. Its space group is No. 71. The value obtained for the uncorrected formation energy is -1033 kJ/mol of formula units. For the density of states at the Fermi level, the calculation gives 2.1 states/eV/f.u. For the magnetization, the calculation gives 0.000 μB per formula unit.

a = 4.278 Å, b = 6.068 Å, c = 7.435 Å
α = 114.08°, β = 106.72°, γ = 90.00°
Element x y z (fractional)
La1 0.175 0.675 0.850
P1 0.835 0.835 0.170
La2 0.825 0.325 0.150
P2 0.165 0.165 0.830
La3 0.500 0.000 0.500
Se1 0.500 0.500 0.500

***

[7]
Compound: LaPSe3
Source: Alexandria via LeMat-Bulk
Functional: PBE
Structure: relaxed

The value obtained for the total energy is -3.760 eV/atom. Its space group is No. 221. The value obtained for the uncorrected formation energy is 192 kJ/mol of formula units. For the density of states at the Fermi level, the calculation gives 11.6 states/eV/f.u. For the magnetization, the calculation gives 0.001 μB per formula unit.

a = 5.734 Å, b = 5.734 Å, c = 5.734 Å
α = 90.00°, β = 90.00°, γ = 90.00°
Element x y z (fractional)
Se1 0.500 0.000 0.000
La1 0.000 0.000 0.000
P1 0.500 0.500 0.500
Se2 0.000 0.500 0.000
Se3 0.000 0.000 0.500

***

[8]
Compound: LaP3Se
Source: Alexandria via LeMat-Bulk
Functional: PBE
Structure: relaxed

The value obtained for the total energy is -4.882 eV/atom. Its space group is No. 221. The value obtained for the uncorrected formation energy is 23 kJ/mol of formula units. For the density of states at the Fermi level, the calculation gives 3.7 states/eV/f.u. For the magnetization, the calculation gives 0.000 μB per formula unit.

a = 4.821 Å, b = 4.821 Å, c = 4.821 Å
α = 90.00°, β = 90.00°, γ = 90.00°
Element x y z (fractional)
P1 0.000 0.000 0.500
Se1 0.000 0.000 0.000
P2 0.500 0.000 0.000
P3 0.000 0.500 0.000
La1 0.500 0.500 0.500

***

[9]
Compound: LaPSe
Source: Alexandria via LeMat-Bulk
Functional: PBE
Structure: relaxed

The value obtained for the total energy is -5.228 eV/atom. Its space group is No. 156. The value obtained for the uncorrected formation energy is -180 kJ/mol of formula units. For the density of states at the Fermi level, the calculation gives 3.9 states/eV/f.u. For the magnetization, the calculation gives 0.000 μB per formula unit.

a = 4.611 Å, b = 4.611 Å, c = 4.588 Å
α = 90.00°, β = 90.00°, γ = 120.00°
Element x y z (fractional)
La1 0.000 0.000 0.030
P1 0.667 0.333 0.272
Se1 0.333 0.667 0.698

***

[10]
Compound: LaP3Se
Source: Alexandria via LeMat-Bulk
Functional: PBE
Structure: relaxed

The value obtained for the total energy is -3.738 eV/atom. Its space group is No. 221. The value obtained for the uncorrected formation energy is 574 kJ/mol of formula units. For the density of states at the Fermi level, the calculation gives 6.7 states/eV/f.u. For the magnetization, the calculation gives 1.960 μB per formula unit.

a = 5.523 Å, b = 5.523 Å, c = 5.523 Å
α = 90.00°, β = 90.00°, γ = 90.00°
Element x y z (fractional)
P1 0.000 0.000 0.500
La1 0.000 0.000 0.000
Se1 0.500 0.500 0.500
P2 0.500 0.000 0.000
P3 0.000 0.500 0.000

***

[11]
Compound: La4P2Se
Source: Alexandria via LeMat-Bulk
Functional: PBE
Structure: relaxed

The value obtained for the total energy is -6.333 eV/atom. Its space group is No. 166. The value obtained for the uncorrected formation energy is -995 kJ/mol of formula units. For the density of states at the Fermi level, the calculation gives 5.4 states/eV/f.u. For the magnetization, the calculation gives 1.608 μB per formula unit.

a = 4.218 Å, b = 4.218 Å, c = 14.159 Å
α = 81.43°, β = 81.43°, γ = 60.00°
Element x y z (fractional)
P1 0.581 0.581 0.258
Se1 0.000 0.000 0.000
La1 0.287 0.287 0.138
La2 0.875 0.875 0.375
P2 0.419 0.419 0.742
La3 0.713 0.713 0.862
La4 0.125 0.125 0.625

***

[12]
Compound: La4P3Se
Source: Alexandria via LeMat-Bulk
Functional: PBE
Structure: relaxed

The value obtained for the total energy is -6.670 eV/atom. Its space group is No. 65. The value obtained for the uncorrected formation energy is -1345 kJ/mol of formula units. For the density of states at the Fermi level, the calculation gives 2.0 states/eV/f.u. For the magnetization, the calculation gives 0.000 μB per formula unit.

a = 4.280 Å, b = 7.421 Å, c = 7.421 Å
α = 70.65°, β = 90.00°, γ = 90.00°
Element x y z (fractional)
P1 0.000 0.500 0.500
La1 0.000 0.760 0.740
P2 0.500 0.000 0.500
La2 0.500 0.754 0.254
La3 0.500 0.246 0.746
La4 0.000 0.241 0.259
P3 0.000 0.000 0.000
Se1 0.500 0.500 0.000